# 1
The following is a PBE calculation of Sm2HoPa after structural relaxation, from Alexandria.

```
Sm2HoPa
1.0
-2.2005 -2.4608 0.6241
-0.4124 -2.4877 -2.2201
7.9885 -8.1435 5.0990
Sm Ho Pa
2 1 1
Direct
0.0870 0.0870 0.7391
0.9130 0.9130 0.2609
0.5000 0.5000 0.5000
0.0000 0.0000 0.0000
```

## Properties
Its space group is No. 166. For the density, the calculation gives 9.588 g/cm³. The magnetic moment is 0.000 μB/f.u. Its energy relative to the lowest polymorph listed for this composition is 141 meV per atom.


# 2
The following is a PBE calculation of RbSm2Zn after structural relaxation, from Alexandria.

```
RbSm2Zn
1.0
3.7838 0.0000 0.0000
1.8919 3.2769 0.0000
1.8919 1.0923 12.1624
Rb Sm Zn
1 2 1
Direct
0.0000 0.0000 0.0000
0.1097 0.1097 0.6708
0.8903 0.8903 0.3292
0.5000 0.5000 0.5000
```

## Properties
Its space group is No. 166. For the density, the calculation gives 4.973 g/cm³. The final energy is -2.713 eV/atom. The magnetic moment is 0.001 μB/f.u.


# 3
The following is a PBE calculation of Zn3Fe12Ir5 after structural relaxation, from Alexandria.

```
Zn3Fe12Ir5
1.0
-2.8961 -3.5294 -11.1047
-6.3186 -6.3510 7.9937
-2.5146 11.6711 1.2737
Zn Ir Fe
12 20 48
Direct
0.7500 0.3750 0.1250
0.1250 0.8750 0.7500
0.8750 0.7500 0.1250
0.6250 0.3750 0.7500
0.6250 0.2500 0.3750
0.8750 0.1250 0.2500
0.1250 0.2500 0.8750
0.7500 0.8750 0.6250
0.2500 0.6250 0.8750
0.3750 0.7500 0.6250
0.2500 0.1250 0.3750
0.3750 0.6250 0.2500
0.3750 0.2500 0.1250
0.5000 0.0000 0.5000
0.2500 0.8750 0.1250
0.2500 0.3750 0.6250
0.7500 0.6250 0.3750
0.0000 0.5000 0.5000
0.1250 0.3750 0.2500
0.6250 0.7500 0.8750
0.3750 0.1250 0.7500
0.0000 0.0000 0.5000
0.8750 0.2500 0.6250
0.7500 0.1250 0.8750
0.5000 0.5000 0.5000
0.0000 0.5000 0.0000
0.8750 0.6250 0.7500
0.6250 0.8750 0.2500
0.5000 0.5000 0.0000
0.0000 0.0000 0.0000
0.1250 0.7500 0.3750
0.5000 0.0000 0.0000
0.2684 0.4158 0.8380
0.4158 0.2684 0.3380
0.5697 0.3380 0.9222
0.0778 0.9158 0.1474
0.6474 0.0697 0.2316
0.0697 0.4222 0.8380
0.3526 0.9303 0.7684
0.0697 0.6474 0.7316
0.3526 0.4222 0.0842
0.7316 0.1474 0.0697
0.9158 0.0778 0.6474
0.2316 0.6620 0.0842
0.4158 0.1474 0.5778
0.9158 0.8380 0.7684
0.4222 0.3526 0.5842
0.9222 0.8380 0.5697
0.6620 0.4303 0.5778
0.8380 0.9222 0.0697
0.2316 0.5697 0.6474
0.1474 0.4158 0.0778
0.0842 0.9222 0.3526
0.9303 0.5778 0.1620
0.1620 0.0778 0.9303
0.7684 0.3380 0.9158
0.5842 0.8526 0.4222
0.6620 0.2316 0.5842
0.6474 0.5778 0.9158
0.9303 0.3526 0.2684
0.0778 0.1620 0.4303
0.5778 0.6474 0.4158
0.1620 0.0842 0.7316
0.5842 0.7316 0.6620
0.7684 0.4303 0.3526
0.9222 0.0842 0.8526
0.8526 0.2684 0.4303
0.4303 0.7684 0.8526
0.4303 0.6620 0.0778
0.8380 0.9158 0.2684
0.4222 0.0697 0.3380
0.7316 0.5842 0.1620
0.0842 0.1620 0.2316
0.1474 0.7316 0.5697
0.8526 0.5842 0.9222
0.3380 0.7684 0.4158
0.5697 0.2316 0.1474
0.5778 0.9303 0.6620
0.3380 0.5697 0.4222
0.2684 0.8526 0.9303
```

## Properties
Its space group is No. 230. For the density, the calculation gives 9.110 g/cm³. The final energy is -6.607 eV/atom. The magnetic moment is 30.227 μB/f.u.


# 4
The following is a PBE calculation of Al3AuSe after structural relaxation, from Alexandria.

```
Al3AuSe
1.0
-3.5532 2.0483 2.6786
-3.3717 -2.2057 -2.7859
0.0412 -3.8645 3.0098
Au Se Al
1 1 3
Direct
0.5000 0.5000 0.5000
0.0000 0.0000 0.0000
0.0000 0.5000 0.0000
0.5000 0.0000 0.0000
0.0000 0.0000 0.5000
```

## Properties
Its space group is No. 221. The value obtained for the uncorrected formation energy is 58 kJ per mole of atoms. For the density, the calculation gives 5.042 g/cm³. The magnetic moment is 0.000 μB/f.u. Its energy relative to the lowest polymorph listed for this composition is 618 meV per atom.


# 5
The following is a PBE calculation of SnHg2Bi after structural relaxation, from Alexandria.

```
SnHg2Bi
1.0
-2.2280 3.8490 -0.7800
-3.9166 -2.2436 0.1162
-3.8048 2.6663 10.9568
Hg Bi Sn
4 2 2
Direct
0.3750 0.3823 0.7500
0.8750 0.8677 0.7500
0.6177 0.1250 0.2500
0.1323 0.6250 0.2500
0.0000 0.0000 0.0000
0.7500 0.2500 0.5000
0.5000 0.5000 0.0000
0.2500 0.7500 0.5000
```

## Properties
Its space group is No. 122. For the density, the calculation gives 10.356 g/cm³. The final energy is -2.047 eV/atom. The magnetic moment is 0.000 μB/f.u.


# 6
The following is a PBE calculation of Be2Cd after structural relaxation, from Alexandria.

```
Be2Cd
1.0
1.4036 4.5135 0.0551
-1.4036 4.5135 0.0551
0.0000 0.4678 6.1906
Be Cd
4 2
Direct
0.6738 0.6738 0.6699
0.3914 0.3914 0.7315
0.0410 0.0410 0.8940
0.2851 0.2851 0.4274
0.7603 0.7603 0.0652
0.0151 0.0151 0.3787
```

## Properties
Its space group is No. 8. For the density, the calculation gives 5.528 g/cm³. The magnetic moment is 0.000 μB/f.u. Its energy relative to the lowest polymorph listed for this composition is 162 meV per atom.


# 7
The following is a PBE calculation of LiGdPuTl after structural relaxation, from Alexandria.

```
LiGdPuTl
1.0
-4.4154 1.8390 2.4176
-4.7716 -2.1631 -1.1290
-2.5076 -3.0144 3.6535
Li Pu Tl Gd
1 1 1 1
Direct
0.0000 0.0000 0.0000
0.2500 0.2500 0.2500
0.5000 0.5000 0.5000
0.7500 0.7500 0.7500
```

## Properties
Its space group is No. 216. For the density, the calculation gives 9.345 g/cm³. The final energy is -8.125 eV/atom. The magnetic moment is 1.067 μB/f.u.


# 8
The following is a PBE calculation of MnCdTc2 after structural relaxation, from Alexandria.

```
MnCdTc2
1.0
7.0753 0.0000 0.0000
0.0000 7.0753 0.0000
3.5376 3.5376 2.6169
Cd Mn Tc
2 2 4
Direct
0.7500 0.2500 0.5000
0.0000 0.0000 0.0000
0.5000 0.5000 0.0000
0.2500 0.7500 0.5000
0.8750 0.8096 0.7500
0.5596 0.1250 0.2500
0.3750 0.4404 0.7500
0.1904 0.6250 0.2500
```

## Properties
Its space group is No. 122. For the density, the calculation gives 9.211 g/cm³. The final energy is -7.041 eV/atom. The magnetic moment is 0.000 μB/f.u.


# 9
The following is a PBE calculation of UPaMoW after structural relaxation, from Alexandria.

```
UPaMoW
1.0
-4.7678 -0.1377 0.0456
-2.2731 -4.1382 -0.6795
-2.2912 -2.0861 3.6266
Pa W U Mo
1 1 1 1
Direct
0.0000 0.0000 0.0000
0.5000 0.5000 0.5000
0.7500 0.7500 0.7500
0.2500 0.2500 0.2500
```

## Properties
Its space group is No. 216. For the density, the calculation gives 16.203 g/cm³. The final energy is -10.906 eV/atom. The magnetic moment is 0.004 μB/f.u.


# 10
The following is a PBE calculation of Ag3SnBr after structural relaxation, from Alexandria.

```
Ag3SnBr
1.0
-5.0261 -1.6831 -0.4890
1.2848 -2.5277 -4.5049
1.1922 -4.3717 2.7930
Ag Br Sn
3 1 1
Direct
0.5000 0.0000 0.0000
0.0000 0.5000 0.0000
0.0000 0.0000 0.5000
0.5000 0.5000 0.5000
0.0000 0.0000 0.0000
```

## Properties
Its space group is No. 221. The value obtained for the uncorrected formation energy is 46 kJ per mole of atoms. For the density, the calculation gives 5.750 g/cm³. The magnetic moment is 0.000 μB/f.u. Its energy relative to the lowest polymorph listed for this composition is 0 meV per atom.


# 11
The following is a PBE calculation of Be2HgPt after structural relaxation, from Alexandria.

```
Be2HgPt
1.0
-4.7358 -5.4376 3.6143
-2.1244 -6.6161 4.0955
-3.1368 -4.5530 5.8728
Be Pt Hg
2 1 1
Direct
0.0119 0.0119 0.0119
0.4881 0.4881 0.4881
0.7500 0.7500 0.7500
0.2500 0.2500 0.2500
```

## Properties
Its space group is No. 166. For the density, the calculation gives 11.913 g/cm³. The magnetic moment is 0.000 μB/f.u. Its energy relative to the lowest polymorph listed for this composition is 259 meV per atom.


# 12
The following is a PBE calculation of Mn2VFe after structural relaxation, from Alexandria.

```
Mn2VFe
1.0
-0.1385 -1.4350 -2.4876
2.6840 0.8213 -0.6233
1.9870 -4.5746 2.5283
Mn V Fe
2 1 1
Direct
0.0000 0.0000 0.2514
0.0000 0.0000 0.7486
0.5000 0.5000 0.0000
0.5000 0.5000 0.5000
```

## Properties
Its space group is No. 123. For the density, the calculation gives 7.783 g/cm³. The magnetic moment is 3.406 μB/f.u. Its energy relative to the lowest polymorph listed for this composition is 6 meV per atom.